The following is a DFT calculation (GGA-PBE) of an optimized crystal structure of La4Nd5Ag.

Summary:
formation energy: -0.0395 eV per atom
crystal system: tetragonal
calculated volume: 34.12 Å³ per atom

a b c (Å): 3.741 3.741 24.377
angles (deg): 90.00 90.00 90.00
Space group P4/mmm (No. 123)
Unique sites:
La1 0.000 0.000 0.106 [2 per cell]
La2 0.000 0.000 0.318 [2 per cell]
Nd1 0.500 0.500 0.000 [1 per cell]
Nd2 0.500 0.500 0.213 [2 per cell]
Nd3 0.500 0.500 0.423 [2 per cell]
Ag1 0.000 0.000 0.500 [1 per cell]